1.
Here is an optimized crystal structure of FePtRhSe2 from Alexandria via LeMat-Bulk. Energies are from PBE.

As for the total magnetization: 0.007 μB/f.u. Its density of states at the Fermi level is 7.45 states/eV/cell. Its crystal system is tetragonal. As for the space group: P4/mmm (123). The calculation puts the electronic total energy at -4.93 eV/atom.

Cell and atoms, written as POSCAR:
```
FePtRhSe2
1.0
-0.0028 0.0427 -4.4888
3.2369 -3.1101 -0.0316
-3.1146 -3.2412 -0.0289
Pt Fe Se Rh
1 1 2 1
Cartesian
0.0598 -3.1543 -2.2747
0.0000 0.0000 0.0000
1.6184 -1.5550 -0.0158
-0.0014 0.0214 -2.2444
-1.5573 -1.6206 -0.0145
```

2.
Here is an optimized crystal structure of Er6Tm2Tl from Alexandria via LeMat-Bulk. Energies are from PBE.

As for the energy relative to the elements: -39 meV/atom. As for the total magnetization: 0.000 μB/f.u. Its density of states at the Fermi level is 27.36 states/eV/cell. Its crystal system is tetragonal. As for the space group: P4_2/mnm (136). For the offset from the most stable computed form, the calculation gives 0.0 meV per atom.

Cell and atoms, written as POSCAR:
```
Er6Tm2Tl
1.0
4.8369 0.0000 0.2449
0.0000 10.4853 -0.0001
-0.5304 -0.0001 10.4718
Er Tm Tl
12 4 2
Cartesian
2.0674 1.7046 7.0603
-0.2649 3.5214 5.2356
-0.0859 3.5381 1.7023
4.7498 0.0001 1.9640
1.8883 1.7211 10.5941
2.2403 5.2425 3.6393
2.2391 8.7806 3.6564
2.0662 5.2427 7.0774
4.3924 6.9471 9.0144
2.4182 8.7641 0.1226
4.5714 6.9638 5.4811
-0.4433 10.4851 8.7527
-0.4434 3.5307 8.7620
4.7499 6.9545 1.9547
2.0663 8.7732 7.0684
2.2402 1.7120 3.6483
2.4184 5.2426 0.1224
-0.2652 0.0000 5.2359
```

3.
Here is an optimized crystal structure of BeCoIr from Alexandria via LeMat-Bulk. Energies are from PBE.

As for the energy relative to the elements: 74 meV/atom. As for the total magnetization: 1.635 μB/f.u. Its density of states at the Fermi level is 11.24 states/eV/cell. Its crystal system is orthorhombic. As for the space group: Pnma (62). For the offset from the most stable computed form, the calculation gives 323.5 meV per atom.

Cell and atoms, written as POSCAR:
```
BeCoIr
1.0
3.7787 0.0000 0.0000
0.0000 5.2197 0.0000
0.0000 0.0000 7.3320
Ir Co Be
4 4 4
Cartesian
0.9447 2.5249 2.5895
0.9447 0.0850 6.2556
2.8340 2.6948 4.7425
2.8340 5.1348 1.0765
2.8340 2.4953 0.7104
2.8340 0.1146 4.3764
0.9447 5.1051 2.9556
0.9447 2.7244 6.6217
0.9447 1.5082 4.5770
0.9447 1.1017 0.9110
2.8340 3.7115 2.7551
2.8340 4.1180 6.4211
```

4.
Here is an optimized crystal structure of SrLi3Pb2 from Alexandria via LeMat-Bulk. Energies are from PBE.

As for the energy relative to the elements: -351 meV/atom. As for the total magnetization: 0.000 μB/f.u. Its density of states at the Fermi level is 3.54 states/eV/cell. Its crystal system is hexagonal. As for the space group: P6_3/mmc (194). For the offset from the most stable computed form, the calculation gives 20.2 meV per atom.

Cell and atoms, written as POSCAR:
```
SrLi3Pb2
1.0
-0.6732 -4.1485 -2.7009
3.4942 0.1177 3.5685
-9.5277 -4.6273 9.4820
Li Sr Pb
6 2 4
Cartesian
-4.7639 -2.3136 4.7410
-8.0257 -6.9719 8.0885
-4.8341 -5.4218 4.9122
1.3189 -1.6862 2.2611
-1.8726 -3.2362 5.4373
0.0000 0.0000 0.0000
-7.1458 -3.4704 7.1115
-2.3819 -1.1568 2.3705
-0.4321 -3.2840 0.5314
-3.8068 -4.1756 7.3622
-2.8999 -4.4825 2.9873
-6.2746 -5.3741 9.8182
```

5.
Here is an optimized crystal structure of SrCr2CuSe from Alexandria via LeMat-Bulk. Energies are from PBE.

As for the total magnetization: 7.373 μB/f.u. Its density of states at the Fermi level is 2.16 states/eV/cell. Its crystal system is tetragonal. As for the space group: P4/mmm (123). The calculation puts the electronic total energy at -5.25 eV/atom.

Cell and atoms, written as POSCAR:
```
SrCr2CuSe
1.0
4.8780 0.0000 0.0000
0.0000 4.8807 0.0000
0.0000 0.0000 4.8780
Sr Cr Cu Se
1 2 1 1
Cartesian
2.4390 2.4404 2.4390
2.4390 0.0000 0.0000
0.0000 0.0000 2.4390
0.0000 2.4404 0.0000
0.0000 0.0000 0.0000
```

6.
Here is an optimized crystal structure of Ge2SN2 from Alexandria via LeMat-Bulk. Energies are from PBE.

As for the total magnetization: 0.000 μB/f.u. Its density of states at the Fermi level is 1.19 states/eV/cell. Its crystal system is monoclinic. As for the space group: Cm (8). The calculation puts the electronic total energy at -5.52 eV/atom.

Cell and atoms, written as POSCAR:
```
Ge2SN2
1.0
-1.3914 -5.9417 -1.9391
5.6693 -2.9091 0.6291
-0.6477 -2.0189 4.1646
S Ge N
2 4 4
Cartesian
2.6294 -6.9210 0.9434
3.5927 -9.6879 1.5623
-0.4110 -2.6933 0.2537
-0.3876 -7.2600 2.4289
3.5954 -5.5494 3.8776
1.8301 -1.7308 1.0689
1.0521 -7.0313 1.0826
3.4429 -6.0044 1.9522
0.0349 -4.3116 -0.2641
2.9405 -3.0637 0.7928
```

7.
Here is an optimized crystal structure of Rb2PaTe2Se6 from Alexandria via LeMat-Bulk. Energies are from PBE.

As for the total magnetization: 0.332 μB/f.u. Its density of states at the Fermi level is 5.19 states/eV/cell. Its crystal system is monoclinic. As for the space group: C2/m (12). The calculation puts the electronic total energy at -4.24 eV/atom.

Cell and atoms, written as POSCAR:
```
Rb2PaTe2Se6
1.0
7.5752 0.0000 0.0000
-3.7876 7.7234 -0.1390
0.0000 -4.5704 7.2258
Se Pa Te Rb
6 1 2 2
Cartesian
0.0000 2.8943 2.7409
1.9258 5.5034 1.3240
5.7134 -2.3504 5.7628
-1.9258 5.5034 1.3240
3.7876 0.2587 4.3459
1.8618 -2.3504 5.7628
3.7876 -2.2852 3.6129
0.0000 -0.4964 1.7663
3.7876 3.6494 5.3205
0.0000 0.7171 5.4933
3.7876 2.4359 1.5935
```

8.
Here is an optimized crystal structure of AcLa3Dy4 from Alexandria via LeMat-Bulk. Energies are from PBE.

As for the energy relative to the elements: 152 meV/atom. As for the total magnetization: 0.000 μB/f.u. Its density of states at the Fermi level is 13.33 states/eV/cell. Its crystal system is orthorhombic. As for the space group: Immm (71).

Cell and atoms, written as POSCAR:
```
AcLa3Dy4
1.0
3.4068 0.0000 0.8826
1.1775 8.7621 2.4711
-0.5411 -1.0389 9.1047
Dy La Ac
4 3 1
Cartesian
2.0696 7.3365 6.0439
1.2196 2.4887 9.3250
2.8236 5.2344 3.1334
1.9736 0.3867 6.4145
2.7295 1.8880 3.4967
0.3182 3.8616 5.7879
1.3137 5.8351 8.9617
1.7034 0.0000 0.4413
```